Entry 1:
Material: Ca4Ag2Rh
Method: DFT, GGA-PBE
State: relaxed

## Properties
Total magnetic moment   0.000 Bohr magnetons per cell
Energy above the most stable polymorph in this dataset   0 meV per atom
E_form   -0.28 eV/atom

Cell: 5.1059 5.1059 25.0928 Å, 90.00 90.00 120.00°
Space group R-3m (No. 166, hexagonal axes)
Symmetry-distinct sites (fractional):
Ca: 0.0000 0.0000 0.1207 (multiplicity 6)
Ca: 0.0000 0.0000 0.3710 (multiplicity 6)
Ag: 0.0000 0.0000 0.2503 (multiplicity 6)
Rh: 0.0000 0.0000 0.0000 (multiplicity 3)

---

Entry 2:
Material: CaAg4Rh2
Method: DFT, GGA-PBE
State: relaxed

## Properties
Total magnetic moment   1.659 Bohr magnetons per cell
E_form   0.91 eV/atom

Cell: 5.0058 5.0058 13.6976 Å, 90.00 90.00 90.00°
Space group I4/mmm (No. 139)
Symmetry-distinct sites (fractional):
Ca: 0.0000 0.0000 0.0000 (multiplicity 2)
Ag: 0.0000 0.0000 0.2112 (multiplicity 4)
Ag: 0.0000 0.5000 0.0000 (multiplicity 4)
Rh: 0.0000 0.0000 0.4054 (multiplicity 4)

---

Entry 3:
Material: CaAgRh2
Method: DFT, GGA-PBE
State: relaxed

## Properties
Total magnetic moment   0.000 Bohr magnetons per cell
E_form   0.06 eV/atom

Cell: 3.1470 4.7824 9.4137 Å, 90.00 90.00 90.00°
Space group Immm (No. 71)
Symmetry-distinct sites (fractional):
Ca: 0.0000 0.0000 0.0000 (multiplicity 2)
Ag: 0.0000 0.0000 0.5000 (multiplicity 2)
Rh: 0.0000 0.5000 0.2426 (multiplicity 4)